First-principles (GGA-PBE) data for a geometry-optimized TbNdSm2 structure, as listed in Alexandria.

formation energy: 0.07 eV per formula unit
crystal system: tetragonal

The structure in CIF format:
```
data_TbNdSm2
_symmetry_space_group_name_H-M 'P 4/m m m'
_symmetry_Int_Tables_number 123
_symmetry_space_group_name_Hall '-P 4 2'
_cell_length_a 5.1208
_cell_length_b 5.1208
_cell_length_c 5.1283
_cell_angle_alpha 90.00
_cell_angle_beta 90.00
_cell_angle_gamma 90.00
loop_
_atom_site_label
_atom_site_fract_x
_atom_site_fract_y
_atom_site_fract_z
_atom_site_occupancy
Tb1 0.0000 0.0000 0.0000 1
Nd1 0.5000 0.5000 0.0000 1
Sm1 0.0000 0.5000 0.5000 1
```